PuNF | PBE | relaxed

a b c (Å): 3.917 3.917 6.212
angles (deg): 101.16 101.16 90.07
Last column: magnetic moment on the atom in μB.
Atoms (fractional coordinates):
Pu (0.811, 0.811, 0.185)  4.27
Pu (0.189, 0.189, 0.815)  4.27
F (0.220, 0.220, 0.444)  -0.02
F (0.780, 0.780, 0.556)  -0.02
N (0.748, 0.252, 0.000)  -0.28
N (0.252, 0.748, 0.000)  -0.28

Volume in Å³ per cell: 91.7
Mass density in Mg/m³: 10.03
E_tot in eV/f.u.: -31.09

***

PuNF | PBE | relaxed

a b c (Å): 3.385 3.388 9.444
angles (deg): 90.00 81.32 90.00
Last column: magnetic moment on the atom in μB.
Atoms (fractional coordinates):
Pu (0.508, 0.073, 0.437)  4.26
Pu (0.129, 0.573, 0.151)  4.26
F (0.415, 0.071, 0.653)  -0.07
F (0.219, 0.572, 0.935)  -0.07
N (0.028, 0.573, 0.390)  -0.26
N (0.609, 0.073, 0.199)  -0.26

Volume in Å³ per cell: 107.1
Mass density in Mg/m³: 8.59
E_tot in eV/f.u.: -30.32

***

RbNF5 | PBE | relaxed

a b c (Å): 13.335 13.285 10.464
angles (deg): 34.79 157.52 156.97
Last column: magnetic moment on the atom in μB.
Atoms (fractional coordinates):
F (0.807, 0.242, 0.076)  0.42
F (0.528, 0.696, 0.620)  0.00
F (0.439, 0.780, 0.802)  0.02
F (0.795, 0.450, 0.219)  0.49
F (0.027, 0.365, 0.797)  0.02
F (0.413, 0.145, 0.592)  0.49
F (0.071, 0.996, 0.055)  0.00
F (0.939, 0.110, 0.623)  0.00
F (0.526, 0.558, 0.058)  0.04
F (0.756, 0.734, 0.514)  0.21
Rb (0.144, 0.683, 0.859)  0.00
Rb (0.388, 0.278, 0.687)  0.01
N (0.933, 0.925, 0.840)  0.00
N (0.234, 0.539, 0.756)  0.12

Volume in Å³ per cell: 271.9
Mass density in Mg/m³: 2.37
E_tot in eV/f.u.: -25.69

***

RbN2F2 | PBE | relaxed

a b c (Å): 4.970 4.970 6.225
angles (deg): 90.00 90.00 90.00
Last column: magnetic moment on the atom in μB.
Atoms (fractional coordinates):
Rb (0.000, 0.000, 0.000)  0.09
N (0.500, 0.500, 0.500)  1.94
N (0.000, 0.000, 0.500)  -1.93
F (0.500, 0.000, 0.000)  0.42
F (0.000, 0.500, 0.000)  0.42

Excess energy over the best structure of this formula in the dataset in meV/atom: 2245
Volume in Å³ per cell: 153.8
Mass density in Mg/m³: 1.64
E_tot in eV/f.u.: -15.53

***

Rb2N2F3 | PBE | relaxed

a b c (Å): 4.185 8.629 8.877
angles (deg): 36.88 56.18 67.95
Last column: magnetic moment on the atom in μB.
Atoms (fractional coordinates):
N (0.516, 0.229, 0.390)  0.93
N (0.484, 0.771, 0.610)  0.93
Rb (0.841, 0.246, 0.968)  0.01
Rb (0.159, 0.754, 0.032)  0.01
F (0.090, 0.734, 0.697)  0.13
F (0.500, 0.000, 0.000)  0.00
F (0.910, 0.266, 0.303)  0.13

Volume in Å³ per cell: 158.3
Mass density in Mg/m³: 2.69
E_tot in eV/f.u.: -27.38

***

RbNF2 | PBE | relaxed

a b c (Å): 5.401 9.677 6.890
angles (deg): 88.65 90.00 90.00
Last column: magnetic moment on the atom in μB.
Atoms (fractional coordinates):
N (0.044, 0.448, 0.001)  0.01
N (0.544, 0.052, 0.499)  0.01
N (0.456, 0.948, 0.501)  0.01
N (0.956, 0.552, 0.999)  0.01
Rb (0.761, 0.346, 0.503)  0.00
Rb (0.739, 0.846, 0.003)  0.00
Rb (0.261, 0.154, 0.997)  0.00
Rb (0.239, 0.654, 0.497)  0.00
F (0.237, 0.863, 0.149)  0.45
F (0.737, 0.637, 0.351)  0.45
F (0.738, 0.636, 0.643)  0.46
F (0.262, 0.364, 0.357)  0.46
F (0.238, 0.864, 0.857)  0.46
F (0.762, 0.136, 0.143)  0.46
F (0.763, 0.137, 0.851)  0.45
F (0.263, 0.363, 0.649)  0.45

Excess energy over the best structure of this formula in the dataset in meV/atom: 0
Volume in Å³ per cell: 360.0
Mass density in Mg/m³: 2.54
E_tot in eV/f.u.: -18.53

***

RbNF2 | PBE | relaxed

a b c (Å): 4.650 4.650 4.650
angles (deg): 60.00 60.00 60.00
Last column: magnetic moment on the atom in μB.
Atoms (fractional coordinates):
F (0.250, 0.250, 0.250)  -0.25
F (0.750, 0.750, 0.750)  -0.25
Rb (0.500, 0.500, 0.500)  0.00
N (0.000, 0.000, 0.000)  1.77

Excess energy over the best structure of this formula in the dataset in meV/atom: 1373
Volume in Å³ per cell: 71.1
Mass density in Mg/m³: 3.21
E_tot in eV/f.u.: -13.03

***

RbN2F4 | PBE | relaxed

a b c (Å): 6.139 3.659 6.139
angles (deg): 108.06 79.95 71.94
Last column: magnetic moment on the atom in μB.
Atoms (fractional coordinates):
F (0.026, 0.732, 0.490)  0.12
F (0.490, 0.268, 0.026)  0.12
F (0.974, 0.268, 0.510)  0.12
F (0.510, 0.732, 0.974)  0.12
N (0.580, 0.911, 0.420)  0.00
N (0.420, 0.089, 0.580)  0.00
Rb (0.000, 0.000, 0.000)  0.00

Volume in Å³ per cell: 118.9
Mass density in Mg/m³: 2.65
E_tot in eV/f.u.: -30.29

***

RbNF6 | PBE | relaxed

a b c (Å): 5.438 5.438 5.598
angles (deg): 60.94 60.94 60.00
Atoms (fractional coordinates):
F (0.928, 0.342, 0.803)
F (0.342, 0.928, 0.803)
F (0.072, 0.072, 0.197)
F (0.658, 0.072, 0.197)
F (0.072, 0.658, 0.197)
F (0.928, 0.928, 0.803)
Rb (0.500, 0.500, 0.500)
N (0.000, 0.000, 0.000)

Volume in Å³ per cell: 118.7
Mass density in Mg/m³: 2.99
E_tot in eV/f.u.: -26.50

***

RbN2F2 | PBE | relaxed

a b c (Å): 5.274 6.861 4.354
angles (deg): 73.77 52.72 90.00
Last column: magnetic moment on the atom in μB.
Atoms (fractional coordinates):
F (0.360, 0.889, 0.280)  0.45
F (0.640, 0.111, 0.720)  0.45
N (0.394, 0.500, 0.000)  0.00
N (0.606, 0.500, 0.000)  0.00
Rb (0.000, 0.000, 0.000)  0.00

Excess energy over the best structure of this formula in the dataset in meV/atom: 0
Volume in Å³ per cell: 117.4
Mass density in Mg/m³: 2.14
E_tot in eV/f.u.: -26.76

***

RbNF2 | PBE | relaxed

a b c (Å): 5.244 5.244 5.244
angles (deg): 44.77 44.77 44.77
Last column: magnetic moment on the atom in μB.
Atoms (fractional coordinates):
Rb (0.000, 0.000, 0.000)  0.01
F (0.780, 0.780, 0.780)  -0.03
F (0.220, 0.220, 0.220)  -0.03
N (0.500, 0.500, 0.500)  1.48

Excess energy over the best structure of this formula in the dataset in meV/atom: 1297
Volume in Å³ per cell: 65.1
Mass density in Mg/m³: 3.51
E_tot in eV/f.u.: -13.34

***

RbN2F11 | PBE | relaxed

a b c (Å): 14.258 9.514 8.770
angles (deg): 55.12 38.54 40.69
Last column: magnetic moment on the atom in μB.
Atoms (fractional coordinates):
F (0.150, 0.276, 0.852)  0.05
F (0.022, 0.840, 0.051)  -0.01
F (0.532, 0.366, 0.547)  0.01
F (0.957, 0.972, 0.706)  0.06
F (0.045, 0.018, 0.873)  0.01
F (0.698, 0.247, 0.972)  0.04
F (0.351, 0.645, 0.003)  0.00
F (0.100, 0.955, 0.212)  0.00
F (0.779, 0.569, 0.279)  0.00
F (0.724, 0.817, 0.355)  0.00
F (0.607, 0.030, 0.053)  0.51
F (0.616, 0.083, 0.666)  0.45
F (0.466, 0.599, 0.444)  -0.02
F (0.330, 0.736, 0.212)  0.00
F (0.749, 0.256, 0.659)  0.05
F (0.488, 0.857, 0.512)  0.01
F (0.392, 0.278, 0.505)  0.05
F (0.158, 0.524, 0.795)  0.04
F (0.069, 0.606, 0.547)  0.52
F (0.913, 0.418, 0.567)  0.50
F (0.410, 0.058, 0.923)  0.51
F (0.072, 0.240, 0.653)  0.43
N (0.297, 0.825, 0.052)  0.00
N (0.654, 0.703, 0.476)  0.00
N (0.766, 0.123, 0.833)  0.24
N (0.199, 0.410, 0.680)  0.24
Rb (0.247, 0.379, 0.151)  0.00
Rb (0.712, 0.672, 0.920)  0.00

Volume in Å³ per cell: 482.6
Mass density in Mg/m³: 2.22
E_tot in eV/f.u.: -47.01

***

RbNF2 | PBE | relaxed

a b c (Å): 6.709 6.709 6.709
angles (deg): 36.53 36.53 36.53
Last column: magnetic moment on the atom in μB.
Atoms (fractional coordinates):
N (0.000, 0.000, 0.000)  1.27
F (0.907, 0.907, 0.907)  0.08
F (0.093, 0.093, 0.093)  0.08
Rb (0.500, 0.500, 0.500)  0.00

Excess energy over the best structure of this formula in the dataset in meV/atom: 783
Volume in Å³ per cell: 95.8
Mass density in Mg/m³: 2.38
E_tot in eV/f.u.: -15.39

***

RbN2F2 | PBE | relaxed

a b c (Å): 3.894 3.894 6.276
angles (deg): 90.00 90.00 90.00
Last column: magnetic moment on the atom in μB.
Atoms (fractional coordinates):
N (0.500, 0.000, 0.000)  1.44
N (0.000, 0.500, 0.000)  1.44
F (0.000, 0.000, 0.000)  -0.02
F (0.000, 0.000, 0.500)  0.11
Rb (0.500, 0.500, 0.500)  0.01

Excess energy over the best structure of this formula in the dataset in meV/atom: 1996
Volume in Å³ per cell: 95.2
Mass density in Mg/m³: 2.64
E_tot in eV/f.u.: -16.78

***

RbN2F2 | PBE | relaxed

a b c (Å): 7.041 7.041 7.942
angles (deg): 90.00 90.00 90.00
Last column: magnetic moment on the atom in μB.
Atoms (fractional coordinates):
N (0.944, 0.556, 0.250)  0.01
N (0.444, 0.944, 0.250)  0.01
N (0.444, 0.944, 0.750)  0.01
N (0.056, 0.444, 0.250)  0.01
N (0.556, 0.056, 0.750)  0.01
N (0.556, 0.056, 0.250)  0.01
N (0.944, 0.556, 0.750)  0.01
N (0.056, 0.444, 0.750)  0.01
Rb (0.500, 0.500, 0.250)  0.00
Rb (0.000, 0.000, 0.750)  0.00
Rb (0.000, 0.000, 0.250)  0.00
Rb (0.500, 0.500, 0.750)  0.00
F (0.731, 0.769, 0.000)  0.42
F (0.269, 0.231, 0.000)  0.42
F (0.231, 0.731, 0.000)  0.42
F (0.769, 0.269, 0.000)  0.42
F (0.731, 0.769, 0.500)  0.42
F (0.769, 0.269, 0.500)  0.42
F (0.231, 0.731, 0.500)  0.42
F (0.269, 0.231, 0.500)  0.42

Excess energy over the best structure of this formula in the dataset in meV/atom: 170
Volume in Å³ per cell: 393.8
Mass density in Mg/m³: 2.56
E_tot in eV/f.u.: -25.91

***

RbN3F9 | PBE | relaxed

a b c (Å): 8.103 8.103 7.523
angles (deg): 90.00 90.00 105.04
Last column: magnetic moment on the atom in μB.
Atoms (fractional coordinates):
F (0.311, 0.331, 0.143)  0.09
F (0.332, 0.909, 0.921)  0.00
F (0.331, 0.311, 0.857)  0.09
F (0.186, 0.654, 0.999)  0.00
F (0.913, 0.087, 0.750)  -0.09
F (0.712, 0.465, 0.021)  0.00
F (0.091, 0.668, 0.579)  0.00
F (0.689, 0.669, 0.643)  0.09
F (0.669, 0.689, 0.357)  0.09
F (0.346, 0.814, 0.501)  0.00
F (0.668, 0.091, 0.421)  0.00
F (0.087, 0.913, 0.250)  -0.09
F (0.654, 0.186, 0.001)  0.00
F (0.465, 0.712, 0.979)  0.00
F (0.288, 0.535, 0.521)  0.00
F (0.814, 0.346, 0.499)  0.00
F (0.909, 0.332, 0.079)  0.00
F (0.535, 0.288, 0.479)  0.00
Rb (0.869, 0.869, 0.000)  0.00
Rb (0.131, 0.131, 0.500)  0.00
N (0.218, 0.668, 0.452)  0.00
N (0.767, 0.767, 0.500)  0.59
N (0.233, 0.233, 0.000)  0.59
N (0.332, 0.782, 0.048)  0.00
N (0.782, 0.332, 0.952)  0.00
N (0.668, 0.218, 0.548)  0.00

Volume in Å³ per cell: 477.1
Mass density in Mg/m³: 2.08
E_tot in eV/f.u.: -51.43

***

Rb2NF3 | PBE | relaxed

a b c (Å): 5.409 9.110 5.455
angles (deg): 89.49 88.35 88.26
Last column: magnetic moment on the atom in μB.
Atoms (fractional coordinates):
N (0.489, 0.993, 0.101)  0.00
N (0.511, 0.007, 0.899)  0.00
Rb (0.676, 0.615, 0.245)  0.00
Rb (0.324, 0.385, 0.755)  0.00
Rb (0.966, 0.165, 0.269)  0.01
Rb (0.034, 0.835, 0.731)  0.01
F (0.525, 0.688, 0.746)  0.40
F (0.190, 0.469, 0.256)  0.42
F (0.475, 0.312, 0.254)  0.40
F (0.021, 0.145, 0.763)  0.13
F (0.979, 0.855, 0.237)  0.13
F (0.810, 0.531, 0.744)  0.42

Volume in Å³ per cell: 268.5
Mass density in Mg/m³: 2.99
E_tot in eV/f.u.: -26.55

***

Rb2N2F5 | PBE | relaxed

a b c (Å): 4.879 4.879 7.506
angles (deg): 90.00 90.00 84.87
Last column: magnetic moment on the atom in μB.
Atoms (fractional coordinates):
F (0.340, 0.340, 0.500)  0.79
F (0.496, 0.107, 0.263)  0.48
F (0.107, 0.496, 0.263)  0.48
F (0.107, 0.496, 0.737)  0.48
F (0.496, 0.107, 0.737)  0.48
Rb (0.094, 0.094, 0.000)  0.00
Rb (0.945, 0.945, 0.500)  0.00
N (0.625, 0.625, 0.926)  0.01
N (0.625, 0.625, 0.074)  0.01

Volume in Å³ per cell: 178.0
Mass density in Mg/m³: 2.74
E_tot in eV/f.u.: -37.48

***

Rb2NF6 | PBE | relaxed

a b c (Å): 5.053 5.757 5.757
angles (deg): 60.04 89.86 89.86
Last column: magnetic moment on the atom in μB.
Atoms (fractional coordinates):
N (0.000, 0.000, 0.000)  0.16
F (0.195, 0.858, 0.284)  0.12
F (0.195, 0.858, 0.858)  0.12
F (0.805, 0.716, 0.142)  0.12
F (0.805, 0.142, 0.716)  0.12
F (0.805, 0.142, 0.142)  0.12
F (0.195, 0.284, 0.858)  0.12
Rb (0.272, 0.333, 0.333)  0.00
Rb (0.728, 0.667, 0.667)  0.00

Volume in Å³ per cell: 145.1
Mass density in Mg/m³: 3.42
E_tot in eV/f.u.: -32.35

***

RbN2F2 | PBE | relaxed

a b c (Å): 6.162 6.162 4.922
angles (deg): 90.00 90.00 90.00
Last column: magnetic moment on the atom in μB.
Atoms (fractional coordinates):
Rb (0.000, 0.000, 0.000)  0.06
N (0.000, 0.500, 0.000)  1.95
N (0.500, 0.000, 0.000)  1.95
F (0.000, 0.000, 0.500)  0.29
F (0.500, 0.500, 0.500)  0.56

Excess energy over the best structure of this formula in the dataset in meV/atom: 2367
Volume in Å³ per cell: 186.9
Mass density in Mg/m³: 1.35
E_tot in eV/f.u.: -14.92

***

Rb3NF | PBE | relaxed

a b c (Å): 5.347 5.347 5.347
angles (deg): 90.00 90.00 90.00
Last column: magnetic moment on the atom in μB.
Atoms (fractional coordinates):
F (0.000, 0.000, 0.000)  0.00
Rb (0.000, 0.000, 0.500)  -0.01
Rb (0.000, 0.500, 0.000)  -0.01
Rb (0.500, 0.000, 0.000)  0.00
N (0.500, 0.500, 0.500)  0.75

Excess energy over the best structure of this formula in the dataset in meV/atom: 0
Volume in Å³ per cell: 152.8
Mass density in Mg/m³: 3.14
E_tot in eV/f.u.: -15.21

***

RbNF2 | PBE | relaxed

a b c (Å): 4.911 4.911 7.229
angles (deg): 70.14 70.14 90.00
Last column: magnetic moment on the atom in μB.
Atoms (fractional coordinates):
Rb (0.750, 0.250, 0.500)  0.00
Rb (0.000, 0.000, 0.000)  0.00
F (0.266, 0.625, 0.250)  0.09
F (0.875, 0.734, 0.750)  0.04
F (0.375, 0.516, 0.750)  0.06
F (0.484, 0.125, 0.250)  0.09
N (0.250, 0.750, 0.500)  1.33
N (0.500, 0.500, 0.000)  1.33

Excess energy over the best structure of this formula in the dataset in meV/atom: 1131
Volume in Å³ per cell: 152.9
Mass density in Mg/m³: 2.99
E_tot in eV/f.u.: -14.00

***

RbN2F8 | PBE | relaxed

a b c (Å): 4.914 7.541 7.541
angles (deg): 96.61 73.40 73.40
Last column: magnetic moment on the atom in μB.
Atoms (fractional coordinates):
F (0.517, 0.633, 0.935)  0.21
F (0.517, 0.935, 0.633)  0.21
F (0.361, 0.404, 0.404)  0.00
F (0.084, 0.285, 0.285)  0.00
F (0.483, 0.367, 0.065)  0.21
F (0.916, 0.715, 0.715)  0.00
F (0.639, 0.596, 0.596)  0.00
F (0.483, 0.065, 0.367)  0.21
Rb (0.000, 0.000, 0.000)  0.00
N (0.615, 0.737, 0.737)  0.05
N (0.385, 0.263, 0.263)  0.05

Volume in Å³ per cell: 250.7
Mass density in Mg/m³: 1.76
E_tot in eV/f.u.: -39.60